Record 1
The following is a DFT calculation (PBE) of a relaxed structure of CaPmPrMg.

Cell lengths 5.7091, 5.7091, 5.7091 Å; angles 60.00, 60.00, 60.00 degrees
Last column: nearest neighbours and their distance in Å.
Element x y z (fractional)
Ca1 0.0000 0.0000 0.0000  4 Pr 3.50, 4 Pm 3.50
Pm1 0.2500 0.2500 0.2500  4 Ca 3.50, 4 Mg 3.50
Pr1 0.7500 0.7500 0.7500  4 Mg 3.50, 4 Ca 3.50
Mg1 0.5000 0.5000 0.5000  4 Pr 3.50, 4 Pm 3.50

Results
Electronic total energy ... -3.25 eV/atom
Relative energy among the computed polymorphs ... 52 meV/atom



Record 2
The following is a DFT calculation (PBE) of a relaxed structure of CaPmMgPt.

Cell lengths 5.1705, 5.1705, 5.1705 Å; angles 60.00, 60.00, 60.00 degrees
Last column: nearest neighbours and their distance in Å.
Element x y z (fractional)
Ca1 0.0000 0.0000 0.0000  4 Mg 3.17, 4 Pt 3.17
Pm1 0.5000 0.5000 0.5000  4 Mg 3.17, 4 Pt 3.17
Mg1 0.7500 0.7500 0.7500  4 Ca 3.17, 4 Pm 3.17
Pt1 0.2500 0.2500 0.2500  4 Ca 3.17, 4 Pm 3.17

Results
Electronic total energy ... -4.11 eV/atom



Record 3
The following is a DFT calculation (PBE) of a relaxed structure of CaPmMgRh.

Cell lengths 5.1513, 5.1513, 5.1513 Å; angles 60.00, 60.00, 60.00 degrees
Last column: nearest neighbours and their distance in Å.
Element x y z (fractional)
Ca1 0.0000 0.0000 0.0000  4 Rh 3.15, 4 Mg 3.15
Pm1 0.5000 0.5000 0.5000  4 Rh 3.15, 4 Mg 3.15
Mg1 0.2500 0.2500 0.2500  4 Ca 3.15, 4 Pm 3.15
Rh1 0.7500 0.7500 0.7500  4 Ca 3.15, 4 Pm 3.15

Results
Electronic total energy ... -4.17 eV/atom



Record 4
The following is a DFT calculation (PBE) of a relaxed structure of CaPmMgRu.

Cell lengths 5.1137, 5.1137, 5.1137 Å; angles 60.00, 60.00, 60.00 degrees
Last column: nearest neighbours and their distance in Å.
Element x y z (fractional)
Ca1 0.0000 0.0000 0.0000  4 Ru 3.13, 4 Mg 3.13
Pm1 0.5000 0.5000 0.5000  4 Ru 3.13, 4 Mg 3.13
Mg1 0.2500 0.2500 0.2500  4 Ca 3.13, 4 Pm 3.13
Ru1 0.7500 0.7500 0.7500  4 Pm 3.13, 4 Ca 3.13

Results
Electronic total energy ... -4.37 eV/atom



Record 5
The following is a DFT calculation (PBE) of a relaxed structure of Ca2PmMgSe4.

Cell lengths 7.1740, 4.1154, 7.2250 Å; angles 90.00, 109.53, 90.00 degrees
Last column: nearest neighbours and their distance in Å.
Element x y z (fractional)
Ca1 0.0000 0.0000 0.0000  6 Se 2.91-2.94
Ca2 0.0000 0.5000 0.5000  6 Se 3.01-3.02
Pm1 0.5000 0.0000 0.5000  6 Se 2.94-2.95
Mg1 0.5000 0.5000 0.0000  6 Se 2.83-2.87
Se1 0.2533 0.5000 0.2409  1 Mg 2.87, 3 Ca 2.91-3.01, 2 Pm 2.94
Se2 0.2651 0.0000 0.7662  2 Mg 2.83, 3 Ca 2.94-3.02, 1 Pm 2.95
Se3 0.7349 0.0000 0.2338  2 Mg 2.83, 3 Ca 2.94-3.02, 1 Pm 2.95
Se4 0.7467 0.5000 0.7591  1 Mg 2.87, 3 Ca 2.91-3.01, 2 Pm 2.94

Results
Formation energy from raw total energies ... -1721 meV per atom
Electronic total energy ... -4.76 eV/atom



Record 6
The following is a DFT calculation (PBE) of a relaxed structure of Ca3Pm3MgSe8.

Cell lengths 8.3918, 8.3918, 8.3918 Å; angles 59.47, 59.47, 59.47 degrees
Last column: nearest neighbours and their distance in Å.
Element x y z (fractional)
Ca1 0.0000 0.5000 0.5000  6 Se 2.95-2.97
Ca2 0.5000 0.0000 0.5000  6 Se 2.95-2.97
Ca3 0.5000 0.5000 0.0000  6 Se 2.95-2.97
Pm1 0.0000 0.0000 0.5000  6 Se 2.95-2.96
Pm2 0.0000 0.5000 0.0000  6 Se 2.95-2.96
Pm3 0.5000 0.0000 0.0000  6 Se 2.95-2.96
Mg1 0.5000 0.5000 0.5000  6 Se 2.83
Se1 0.2506 0.2506 0.2506  3 Ca 2.95, 3 Pm 2.96
Se2 0.2595 0.7391 0.7391  1 Mg 2.83, 2 Pm 2.95, 2 Ca 2.97
Se3 0.2609 0.2609 0.7405  1 Mg 2.83, 2 Pm 2.95, 2 Ca 2.97
Se4 0.2609 0.7405 0.2609  1 Mg 2.83, 2 Pm 2.95, 2 Ca 2.97
Se5 0.7391 0.2595 0.7391  1 Mg 2.83, 2 Pm 2.95, 2 Ca 2.97
Se6 0.7391 0.7391 0.2595  1 Mg 2.83, 2 Pm 2.95, 2 Ca 2.97
Se7 0.7405 0.2609 0.2609  1 Mg 2.83, 2 Pm 2.95, 2 Ca 2.97
Se8 0.7494 0.7494 0.7494  3 Ca 2.95, 3 Pm 2.96

Results
Formation energy from raw total energies ... -1825 meV per atom
Electronic total energy ... -5.14 eV/atom



Spin magnetization values, unit μB/f.u., following the record order: 0.00 0.00 0.00 0.00 0.00 0.00.